Entry from Alexandria: a crystal of ZrMnSi2 relaxed with PBEsol (SCAN).

Structure (POSCAR):
```
ZrMnSi2
1.0
3.735 0.000 0.000
0.000 3.735 0.000
-1.867 -1.867 4.315
Si Zr Mn
2 1 1
Direct
0.000 0.000 0.000
0.750 0.250 0.500
0.500 0.500 0.000
0.250 0.750 0.500
```

Properties
Formation energy without anion corrections (kcal/mol of atoms): -10.4
DOS at the Fermi energy (states/eV/cell): 1.72
Spin magnetization (μB/atom): 0.944